No. 1
Below is an optimized crystal structure of PrMg3Zn, with properties calculated at the PBE-GGA level.

abc: 7.468 4.303 7.939
angles: 90.00 106.40 90.00
Space group P2_1/m (No. 11)
Unique sites:
Pr 0.184 0.250 0.164 [2 per cell]
Mg 0.088 0.250 0.653 [2 per cell]
Mg 0.337 0.750 0.898 [2 per cell]
Mg 0.344 0.750 0.520 [2 per cell]
Zn 0.488 0.250 0.747 [2 per cell]

Summary:
* formation enthalpy at 0 K: -0.13 eV/atom
* total magnetic moment: 0.000 μB per atom
* energy: -2.301 eV per atom

---

No. 2
Below is an optimized crystal structure of CaNd5Y5, with properties calculated at the PBE-GGA level.

abc: 6.2513 6.2513 11.8220
angles: 90.00 90.00 120.00
Space group P-6m2 (No. 187)
Unique sites:
Ca 0.0000 0.0000 0.0000 [1 per cell]
Nd 0.0000 0.0000 0.3131 [2 per cell]
Nd 0.3333 0.6667 0.1695 [2 per cell]
Nd 0.6667 0.3333 0.0000 [1 per cell]
Y 0.0010 0.5005 0.5000 [3 per cell]
Y 0.6667 0.3333 0.2639 [2 per cell]

Summary:
* formation enthalpy at 0 K: 0.31 eV/atom
* total magnetic moment: 0.270 μB per atom
* energy: -4.980 eV per atom

---

No. 3
Below is an optimized crystal structure of HfNb3Cr8, with properties calculated at the PBE-GGA level.

abc: 4.9355 4.9355 8.0958
angles: 90.00 90.00 120.00
Space group P3m1 (No. 156)
Unique sites:
Hf 0.0000 0.0000 0.0000 [1 per cell]
Nb 0.0000 0.0000 0.3806 [1 per cell]
Nb 0.6667 0.3333 0.4988 [1 per cell]
Nb 0.6667 0.3333 0.8774 [1 per cell]
Cr 0.1641 0.3282 0.6871 [3 per cell]
Cr 0.3333 0.6667 0.4402 [1 per cell]
Cr 0.3333 0.6667 0.9376 [1 per cell]
Cr 0.5024 0.0047 0.1912 [3 per cell]

Summary:
* formation enthalpy at 0 K: -0.07 eV/atom
* total magnetic moment: 0.000 μB per atom
* energy: -9.833 eV per atom

---

No. 4
Below is an optimized crystal structure of CaBeSi, with properties calculated at the PBE-GGA level.

abc: 3.932 6.870 8.474
angles: 90.00 90.00 90.00
Space group Immm (No. 71)
Unique sites:
Ca 0.000 0.000 0.249 [4 per cell]
Be 0.000 0.333 0.000 [4 per cell]
Si 0.000 0.323 0.500 [4 per cell]

Summary:
* total magnetic moment: 0.000 μB per atom
* energy: -3.981 eV per atom
* ΔE_f (raw): -0.265 eV/atom

---

No. 5
Below is an optimized crystal structure of CsRhCl2, with properties calculated at the PBE-GGA level.

abc: 5.5035 5.5035 22.5076
angles: 90.00 90.00 120.00
Space group R-3m (No. 166, hexagonal axes)
Unique sites:
Cs 0.0000 0.0000 0.0000 [3 per cell]
Rh 0.0000 0.0000 0.5000 [3 per cell]
Cl 0.0000 0.0000 0.3983 [6 per cell]

Summary:
* total magnetic moment: 0.500 μB per atom
* E above lowest polymorph: 90.4 meV/atom
* energy: -3.547 eV per atom
* ΔE_f (raw): -0.573 eV/atom

---

No. 6
Below is an optimized crystal structure of LiEr2USe6, with properties calculated at the PBE-GGA level.

abc: 7.0554 7.0554 19.1970
angles: 90.00 90.00 120.00
Space group R3 (No. 146, hexagonal axes)
Unique sites:
Li 0.0000 0.0000 0.0000 [3 per cell]
Er 0.0000 0.0000 0.2971 [3 per cell]
Er 0.0000 0.0000 0.8052 [3 per cell]
U 0.0000 0.0000 0.4893 [3 per cell]
Se 0.0006 0.6955 0.3988 [9 per cell]
Se 0.0326 0.3441 0.5671 [9 per cell]

Summary:
* total magnetic moment: 0.100 μB per atom
* energy: -5.783 eV per atom
* ΔE_f (raw): -1.460 eV/atom

---

No. 7
Below is an optimized crystal structure of CoWAu2, with properties calculated at the PBE-GGA level.

abc: 6.296 6.296 6.296
angles: 90.00 90.00 90.00
Space group Fm-3m (No. 225)
Unique sites:
Co 0.000 0.000 0.000 [4 per cell]
W 0.000 0.000 0.500 [4 per cell]
Au 0.250 0.250 0.250 [8 per cell]

Summary:
* formation enthalpy at 0 K: 0.56 eV/atom
* total magnetic moment: 0.000 μB per atom
* E above lowest polymorph: 378.4 meV/atom
* energy: -6.093 eV per atom

---

No. 8
Below is an optimized crystal structure of CuSn2I, with properties calculated at the PBE-GGA level.

abc: 7.505 7.505 7.505
angles: 90.00 90.00 90.00
Space group Fm-3m (No. 225)
Unique sites:
Cu 0.000 0.000 0.000 [4 per cell]
Sn 0.250 0.250 0.250 [8 per cell]
I 0.000 0.000 0.500 [4 per cell]

Summary:
* total magnetic moment: 0.000 μB per atom
* E above lowest polymorph: 472.7 meV/atom
* energy: -2.949 eV per atom
* ΔE_f (raw): 0.464 eV/atom

---

No. 9
Below is an optimized crystal structure of ZrCd2Re, with properties calculated at the PBE-GGA level.

abc: 2.837 4.753 5.706
angles: 90.00 99.12 90.00
Space group P2/m (No. 10)
Unique sites:
Zr 0.000 0.000 0.000 [1 per cell]
Cd 0.451 0.500 0.740 [2 per cell]
Re 0.000 0.000 0.500 [1 per cell]

Summary:
* formation enthalpy at 0 K: 0.24 eV/atom
* total magnetic moment: 0.000 μB per atom
* E above lowest polymorph: 79.0 meV/atom
* energy: -5.468 eV per atom

---

No. 10
Below is an optimized crystal structure of HoTlHg, with properties calculated at the PBE-GGA level.

abc: 5.2428 5.2428 6.4560
angles: 90.00 90.00 120.00
Space group P6_3/mmc (No. 194)
Unique sites:
Ho 0.3333 0.6667 0.2500 [2 per cell]
Tl 0.0000 0.0000 0.0000 [2 per cell]
Hg 0.3333 0.6667 0.7500 [2 per cell]

Summary:
* formation enthalpy at 0 K: -0.32 eV/atom
* total magnetic moment: 0.000 μB per atom
* E above lowest polymorph: 0.0 meV/atom
* energy: -2.735 eV per atom

---

No. 11
Below is an optimized crystal structure of Li2ZrTe, with properties calculated at the PBE-GGA level.

abc: 4.112 4.112 9.111
angles: 90.00 90.00 90.00
Space group I-4m2 (No. 119)
Unique sites:
Li 0.000 0.000 0.000 [2 per cell]
Li 0.000 0.500 0.250 [2 per cell]
Zr 0.000 0.000 0.500 [2 per cell]
Te 0.000 0.500 0.750 [2 per cell]

Summary:
* total magnetic moment: 0.342 μB per atom
* energy: -4.169 eV per atom
* ΔE_f (raw): -0.289 eV/atom

---

No. 12
Below is an optimized crystal structure of LaLuTlHg, with properties calculated at the PBE-GGA level.

abc: 7.673 7.673 7.673
angles: 90.00 90.00 90.00
Space group F-43m (No. 216)
Unique sites:
La 0.000 0.000 0.000 [4 per cell]
Lu 0.000 0.000 0.500 [4 per cell]
Tl 0.250 0.250 0.250 [4 per cell]
Hg 0.250 0.250 0.750 [4 per cell]

Summary:
* formation enthalpy at 0 K: -0.40 eV/atom
* total magnetic moment: 0.007 μB per atom
* energy: -3.433 eV per atom